#i
Below is Sr3ScRh after structural relaxation, with properties calculated at the PBE-GGA level.

Calculated values
As for the magnetic moment: 0.000 μB per formula unit. The density of states at the Fermi level is 1.5 states/eV per cell. The value obtained for the density is 3.53 Mg/m³. The space-group type is Pm-3m, No. 221.

a b c (Å): 5.780 5.780 5.780
angles (deg): 90.00 90.00 90.00
Fractional positions:
Sr (0.000, 0.000, 0.500)
Sr (0.500, 0.000, 0.000)
Sr (0.000, 0.500, 0.000)
Rh (0.000, 0.000, 0.000)
Sc (0.500, 0.500, 0.500)


#ii
Below is Sr3ScRh after structural relaxation, with properties calculated at the PBE-GGA level.

Calculated values
As for the magnetic moment: 4.377 μB per formula unit. The density of states at the Fermi level is 11.5 states/eV per cell. The value obtained for the density is 3.13 Mg/m³. The space-group type is Pm-3m, No. 221.

a b c (Å): 6.017 6.017 6.017
angles (deg): 90.00 90.00 90.00
Fractional positions:
Sr (0.000, 0.500, 0.000)
Sr (0.500, 0.000, 0.000)
Sr (0.000, 0.000, 0.500)
Sc (0.000, 0.000, 0.000)
Rh (0.500, 0.500, 0.500)


Which of them is the most stable, and which is the least stable? #i and #ii, in that order.


#i
Below is ScTaRh after structural relaxation, with properties calculated at the PBE-GGA level.

Calculated values
As for the magnetic moment: 0.000 μB per formula unit. The density of states at the Fermi level is 2.2 states/eV per cell. The value obtained for the density is 10.33 Mg/m³. The space-group type is I4mm, No. 107.

a b c (Å): 5.739 5.739 3.163
angles (deg): 74.01 74.00 31.99
Fractional positions:
Rh (0.994, 0.994, 0.006)
Sc (0.660, 0.660, 0.340)
Ta (0.346, 0.346, 0.654)


#ii
Below is ScTaRh after structural relaxation, with properties calculated at the PBE-GGA level.

Calculated values
As for the magnetic moment: 0.000 μB per formula unit. The density of states at the Fermi level is 3.1 states/eV per cell. The value obtained for the density is 8.96 Mg/m³. The space-group type is F-43m, No. 216.

a b c (Å): 4.418 4.418 4.418
angles (deg): 60.00 60.00 60.00
Fractional positions:
Sc (0.000, 0.000, 0.000)
Rh (0.250, 0.250, 0.250)
Ta (0.500, 0.500, 0.500)


Which of them is the most stable, and which is the least stable? #i and #ii, in that order.